(1)
Zr4Al2Si, single point on PBEsol structure, DFT SCAN; E above lowest polymorph = 0 meV/atom; calculated total energy = -21.16 eV per atom; magnetization = 0.0 μB/f.u.; ΔE_f (raw) = 0.03 eV per atom; V = 139 Å³/f.u.; space-group type = No. 156
1.0
2.994 0.000 0.000
-1.497 2.593 0.000
0.000 0.000 17.932
Zr Al Si
4 2 1
Direct
0.000 0.000 0.000
0.000 0.000 0.433
0.333 0.667 0.158
0.333 0.667 0.705
0.333 0.667 0.863
0.667 0.333 0.570
0.000 0.000 0.284


(2)
ZrAl2Si, single point on PBEsol structure, DFT SCAN; calculated total energy = -14.52 eV per atom; magnetization = 0.0 μB/f.u.; ΔE_f (raw) = -0.46 eV per atom; V = 65 Å³/f.u.; space-group type = No. 119
1.0
-1.943 1.943 4.296
1.943 -1.943 4.296
1.943 1.943 -4.296
Zr Al Si
1 2 1
Direct
0.000 0.000 0.000
0.250 0.750 0.500
0.500 0.500 0.000
0.750 0.250 0.500


(3)
ZrAl3Si2, single point on PBEsol structure, DFT SCAN; calculated total energy = -12.32 eV per atom; magnetization = 0.0 μB/f.u.; ΔE_f (raw) = 0.01 eV per atom; V = 98 Å³/f.u.; space-group type = No. 191
1.0
5.176 0.000 0.000
-2.588 4.482 0.000
0.000 0.000 4.221
Zr Al Si
1 3 2
Direct
0.000 0.000 0.000
0.000 0.500 0.500
0.500 0.000 0.500
0.500 0.500 0.500
0.333 0.667 0.000
0.667 0.333 0.000


(4)
Zr2Al4Si, single point on PBEsol structure, DFT SCAN; calculated total energy = -14.67 eV per atom; magnetization = 0.0 μB/f.u.; ΔE_f (raw) = -0.04 eV per atom; V = 125 Å³/f.u.; space-group type = No. 8
1.0
2.615 -1.513 0.000
2.615 1.513 0.000
-1.706 0.000 15.854
Zr Al Si
2 4 1
Direct
0.000 0.000 0.000
0.231 0.231 0.690
0.137 0.137 0.404
0.384 0.384 0.150
0.615 0.615 0.845
0.849 0.849 0.541
0.761 0.761 0.278